Record 1
Below is LiPr5Hg3 after structural relaxation, with properties calculated at the PBE-GGA level.

Cell: 16.396 9.458 6.919 Å, 90.00 90.00 90.00°
Space group Cmcm (No. 63)
One atom of each set of equivalent atoms:
Li  0.000  0.000  0.000 x4
Pr  0.000  0.308  0.250 x4
Pr  0.154  0.154  0.750 x8
Pr  0.167  0.500  0.000 x8
Hg  0.000  0.353  0.750 x4
Hg  0.176  0.176  0.250 x8

- Crystal system: orthorhombic
- Size of the total moment: 0.00 μB/cell
- Final energy: -3.227 eV per atom

Record 2
Below is SiIrPb4 after structural relaxation, with properties calculated at the PBE-GGA level.

Cell: 8.759 8.759 8.759 Å, 90.00 90.00 90.00°
Space group F-43m (No. 216)
One atom of each set of equivalent atoms:
Si  0.000  0.000  0.000 x4
Ir  0.250  0.250  0.750 x4
Pb  0.125  0.125  0.375 x16

- Crystal system: cubic
- Size of the total moment: 0.01 μB/cell
- Formation energy (no corrections): 1.052 eV/atom
- Final energy: -3.801 eV per atom

Record 3
Below is LaPr3Tm after structural relaxation, with properties calculated at the PBE-GGA level.

Cell: 17.775 6.911 6.144 Å, 90.00 110.09 90.00°
Space group C2/m (No. 12)
One atom of each set of equivalent atoms:
La  0.000  0.000  0.000 x2
La  0.000  0.000  0.500 x2
Pr  0.152  0.268  0.402 x8
Pr  0.227  0.000  0.976 x4
Tm  0.051  0.500  0.800 x4

- Crystal system: monoclinic
- Size of the total moment: 0.00 μB/cell
- Distance to the lowest polymorph of the same formula: 0 meV/atom
- Final energy: -4.575 eV per atom

Record 4
Below is Te2IrW after structural relaxation, with properties calculated at the PBE-GGA level.

Cell: 3.284 5.337 9.114 Å, 90.00 90.00 90.00°
Space group Cmmm (No. 65)
One atom of each set of equivalent atoms:
Te  0.000  0.000  0.250 x4
Ir  0.000  0.500  0.000 x2
W  0.000  0.500  0.500 x2

- Crystal system: orthorhombic
- Size of the total moment: 0.00 μB/cell
- Formation energy (no corrections): 1.040 eV/atom
- Distance to the lowest polymorph of the same formula: 900 meV/atom
- Final energy: -5.984 eV per atom

Record 5
Below is TaMn2As after structural relaxation, with properties calculated at the PBE-GGA level.

Cell: 5.273 8.607 2.826 Å, 90.00 113.59 90.00°
Space group C2/m (No. 12)
One atom of each set of equivalent atoms:
Ta  0.000  0.000  0.000 x2
Mn  0.250  0.250  0.500 x4
As  0.000  0.500  0.000 x2

- Crystal system: monoclinic
- Size of the total moment: 8.92 μB/cell
- Final energy: -8.585 eV per atom

Record 6
Below is LaCd2Ni after structural relaxation, with properties calculated at the PBE-GGA level.

Cell: 4.410 4.410 9.464 Å, 90.00 90.00 90.00°
Space group I4/mmm (No. 139)
One atom of each set of equivalent atoms:
La  0.000  0.000  0.000 x2
Cd  0.000  0.500  0.250 x4
Ni  0.000  0.000  0.500 x2

- Crystal system: tetragonal
- Size of the total moment: 0.00 μB/cell
- Final energy: -3.189 eV per atom

Record 7
Below is SmGa6Ir4 after structural relaxation, with properties calculated at the PBE-GGA level.

Cell: 7.4654 7.4654 3.8665 Å, 90.00 90.00 120.00°
Space group P-6m2 (No. 187)
One atom of each set of equivalent atoms:
Sm  0.0000  0.0000  0.0000 x1
Ga  0.0628  0.5314  0.0000 x3
Ga  0.3852  0.1926  0.5000 x3
Ir  0.2029  0.4058  0.5000 x3
Ir  0.6667  0.3333  0.0000 x1

- Crystal system: hexagonal
- Size of the total moment: 0.00 μB/cell
- Final energy: -5.857 eV per atom

Record 8
Below is TbCe2TmSb5 after structural relaxation, with properties calculated at the PBE-GGA level.

Cell: 5.327 5.327 11.511 Å, 90.00 90.00 90.00°
Space group P4/mmm (No. 123)
One atom of each set of equivalent atoms:
Tb  0.000  0.000  0.000 x1
Ce  0.500  0.500  0.212 x2
Tm  0.000  0.000  0.500 x1
Sb  0.000  0.000  0.254 x2
Sb  0.000  0.500  0.000 x2
Sb  0.500  0.500  0.500 x1

- Crystal system: tetragonal
- Size of the total moment: 1.76 μB/cell
- Formation energy (no corrections): -0.244 eV/atom
- Final energy: -4.865 eV per atom

Record 9
Below is Y2GeCl after structural relaxation, with properties calculated at the PBE-GGA level.

Cell: 7.150 7.150 7.150 Å, 90.00 90.00 90.00°
Space group Fm-3m (No. 225)
One atom of each set of equivalent atoms:
Y  0.250  0.250  0.250 x8
Ge  0.000  0.000  0.000 x4
Cl  0.000  0.000  0.500 x4

- Crystal system: cubic
- Size of the total moment: 0.00 μB/cell
- Formation energy (no corrections): -0.979 eV/atom
- Distance to the lowest polymorph of the same formula: 221 meV/atom
- Final energy: -5.827 eV per atom

Record 10
Below is Na3MgAg after structural relaxation, with properties calculated at the PBE-GGA level.

Cell: 5.817 5.817 5.817 Å, 90.00 90.00 90.00°
Space group Pm-3m (No. 221)
One atom of each set of equivalent atoms:
Na  0.000  0.000  0.500 x3
Mg  0.000  0.000  0.000 x1
Ag  0.500  0.500  0.500 x1

- Crystal system: cubic
- Size of the total moment: 0.00 μB/cell
- Distance to the lowest polymorph of the same formula: 278 meV/atom
- Final energy: -1.163 eV per atom

Record 11
Below is SiSb2Cl after structural relaxation, with properties calculated at the PBE-GGA level.

Cell: 3.202 5.865 10.662 Å, 90.00 90.00 90.00°
Space group Cmm2 (No. 35)
One atom of each set of equivalent atoms:
Si  0.000  0.000  0.000 x2
Sb  0.000  0.000  0.495 x2
Sb  0.000  0.500  0.757 x2
Cl  0.000  0.500  0.172 x2

- Crystal system: orthorhombic
- Size of the total moment: 0.00 μB/cell
- Formation energy (no corrections): 0.231 eV/atom
- Distance to the lowest polymorph of the same formula: 197 meV/atom
- Final energy: -3.648 eV per atom

Record 12
Below is TaTiTlMo2 after structural relaxation, with properties calculated at the PBE-GGA level.

Cell: 4.598 4.598 4.794 Å, 90.00 90.00 90.00°
Space group P4/mmm (No. 123)
One atom of each set of equivalent atoms:
Ta  0.000  0.000  0.000 x1
Ti  0.000  0.000  0.500 x1
Tl  0.500  0.500  0.000 x1
Mo  0.000  0.500  0.500 x2

- Crystal system: tetragonal
- Size of the total moment: 0.00 μB/cell
- Final energy: -7.391 eV per atom

Record 13
Below is Y8Pt3Se4S after structural relaxation, with properties calculated at the PBE-GGA level.

Cell: 8.0658 8.0658 20.8460 Å, 90.00 90.00 120.00°
Space group R-3m (No. 166, hexagonal axes)
One atom of each set of equivalent atoms:
Y  0.0000  0.0000  0.2436 x6
Y  0.0040  0.5020  0.7548 x18
Pt  0.0000  0.5000  0.5000 x9
Se  0.0000  0.0000  0.0000 x3
Se  0.0000  0.5000  0.0000 x9
S  0.0000  0.0000  0.5000 x3

- Crystal system: trigonal
- Size of the total moment: 0.00 μB/cell
- Formation energy (no corrections): -1.568 eV/atom
- Final energy: -7.062 eV per atom

Record 14
Below is ZrInRe3 after structural relaxation, with properties calculated at the PBE-GGA level.

Cell: 4.841 4.841 4.841 Å, 90.00 90.00 90.00°
Space group Pm-3m (No. 221)
One atom of each set of equivalent atoms:
Zr  0.000  0.000  0.000 x1
In  0.500  0.500  0.500 x1
Re  0.000  0.000  0.500 x3

- Crystal system: cubic
- Size of the total moment: 2.47 μB/cell
- Distance to the lowest polymorph of the same formula: 25 meV/atom
- Final energy: -7.304 eV per atom

Record 15
Below is PrNdAgPt after structural relaxation, with properties calculated at the PBE-GGA level.

Cell: 7.370 7.370 7.370 Å, 90.00 90.00 90.00°
Space group F-43m (No. 216)
One atom of each set of equivalent atoms:
Pr  0.000  0.000  0.000 x4
Nd  0.000  0.000  0.500 x4
Ag  0.250  0.250  0.250 x4
Pt  0.250  0.250  0.750 x4

- Crystal system: cubic
- Size of the total moment: 0.00 μB/cell
- Distance to the lowest polymorph of the same formula: 38 meV/atom
- Final energy: -5.252 eV per atom

Record 16
Below is SmHg2Te after structural relaxation, with properties calculated at the PBE-GGA level.

Cell: 3.5113 3.5113 34.6247 Å, 90.00 90.00 120.00°
Space group R-3m (No. 166, hexagonal axes)
One atom of each set of equivalent atoms:
Sm  0.0000  0.0000  0.0000 x3
Hg  0.0000  0.0000  0.0888 x6
Te  0.0000  0.0000  0.5000 x3

- Crystal system: trigonal
- Size of the total moment: 0.00 μB/cell
- Formation energy (no corrections): 0.097 eV/atom
- Final energy: -2.019 eV per atom

Record 17
Below is Pm3Ge2Br3 after structural relaxation, with properties calculated at the PBE-GGA level.

Cell: 9.0274 9.0274 5.8211 Å, 90.00 90.00 120.00°
Space group P6_3/mcm (No. 193)
One atom of each set of equivalent atoms:
Pm  0.0000  0.3828  0.2500 x6
Ge  0.3333  0.6667  0.0000 x4
Br  0.0000  0.2472  0.7500 x6

- Crystal system: hexagonal
- Size of the total moment: 0.00 μB/cell
- Formation energy (no corrections): -1.245 eV/atom
- Final energy: -4.808 eV per atom

Record 18
Below is Tc2TeOs after structural relaxation, with properties calculated at the PBE-GGA level.

Cell: 2.952 4.887 9.502 Å, 90.00 90.00 90.00°
Space group Cmm2 (No. 35)
One atom of each set of equivalent atoms:
Tc  0.000  0.000  0.000 x2
Tc  0.000  0.500  0.223 x2
Te  0.000  0.000  0.493 x2
Os  0.000  0.500  0.774 x2

- Crystal system: orthorhombic
- Size of the total moment: 0.00 μB/cell
- Formation energy (no corrections): 0.874 eV/atom
- Distance to the lowest polymorph of the same formula: 454 meV/atom
- Final energy: -7.902 eV per atom

Record 19
Below is RbZn2Mo after structural relaxation, with properties calculated at the PBE-GGA level.

Cell: 5.330 5.330 18.176 Å, 90.00 90.00 90.00°
Space group I4_1/amd (No. 141, origin choice 2)
One atom of each set of equivalent atoms:
Rb  0.000  0.250  0.375 x4
Zn  0.000  0.000  0.000 x8
Mo  0.000  0.250  0.875 x4

- Crystal system: tetragonal
- Size of the total moment: 12.71 μB/cell
- Distance to the lowest polymorph of the same formula: 0 meV/atom
- Final energy: -2.627 eV per atom

Record 20
Below is KFePI2 after structural relaxation, with properties calculated at the PBE-GGA level.

Cell: 6.492 6.492 6.758 Å, 90.00 90.00 90.00°
Space group P4/mmm (No. 123)
One atom of each set of equivalent atoms:
K  0.000  0.000  0.000 x1
Fe  0.000  0.000  0.500 x1
P  0.500  0.500  0.500 x1
I  0.000  0.500  0.000 x2

- Crystal system: tetragonal
- Size of the total moment: 2.00 μB/cell
- Formation energy (no corrections): 1.209 eV/atom
- Final energy: -2.405 eV per atom